## Rb3MoF6 (PBE+U)

Data for a relaxed Rb3MoF6 crystal.

E above lowest polymorph ... 34 meV/atom

```
data_Rb3MoF6
_chemical_formula_sum 'Rb12 Mo4 F24'
_cell_length_a 9.4919
_cell_length_b 9.4919
_cell_length_c 9.4919
_cell_angle_alpha 90.00
_cell_angle_beta 90.00
_cell_angle_gamma 90.00
_symmetry_space_group_name_H-M 'F m -3 m'
_symmetry_Int_Tables_number 225
_symmetry_space_group_name_Hall '-F 4 2 3'
loop_
_atom_site_label
_atom_site_type_symbol
_atom_site_fract_x
_atom_site_fract_y
_atom_site_fract_z
Rb1 Rb 0.0000 0.0000 0.0000
Rb2 Rb 0.2500 0.2500 0.2500
Mo1 Mo 0.0000 0.0000 0.5000
F1 F 0.0000 0.0000 0.2790
```